[1]
# Ce2PmPaSe5

A relaxed Ce2PmPaSe5 crystal (GGA-PBE, Alexandria via LeMat-Bulk).

a = 5.202 Å, b = 5.202 Å, c = 10.933 Å
α = 90.00°, β = 90.00°, γ = 90.00°
Fractional positions:
Ce 0.000 0.000 0.191
Ce 0.000 0.000 0.809
Pm 0.500 0.500 0.500
Pa 0.500 0.500 0.000
Se 0.000 0.000 0.500
Se 0.000 0.500 0.000
Se 0.500 0.000 0.000
Se 0.500 0.500 0.252
Se 0.500 0.500 0.748

The formation energy from raw total energies comes out at -1.101 eV/atom. For the calculated density, the calculation gives 5.898 Mg/m³. The symmetry is P4/mmm, No. 123.

[2]
# YMgCu

A relaxed YMgCu crystal (GGA-PBE, Alexandria via LeMat-Bulk).

a = 6.597 Å, b = 7.016 Å, c = 5.639 Å
α = 90.00°, β = 90.00°, γ = 90.00°
Fractional positions:
Y 0.093 0.087 0.250
Y 0.093 0.413 0.750
Y 0.907 0.587 0.250
Y 0.907 0.913 0.750
Mg 0.413 0.061 0.750
Mg 0.413 0.439 0.250
Mg 0.587 0.561 0.750
Mg 0.587 0.939 0.250
Cu 0.276 0.750 0.000
Cu 0.276 0.750 0.500
Cu 0.724 0.250 0.000
Cu 0.724 0.250 0.500

For the calculated density, the calculation gives 4.498 Mg/m³. As for the relative energy among the computed polymorphs: 0.267 eV/f.u. Its formation energy is -0.13 eV/atom. The symmetry is Pbcm, No. 57.

[3]
# Y2FeB2

A relaxed Y2FeB2 crystal (GGA-PBE, Alexandria via LeMat-Bulk).

a = 6.422 Å, b = 6.422 Å, c = 3.706 Å
α = 90.00°, β = 90.00°, γ = 90.00°
Fractional positions:
Y 0.193 0.307 0.000
Y 0.307 0.807 0.000
Y 0.693 0.193 0.000
Y 0.807 0.693 0.000
Fe 0.000 0.000 0.500
Fe 0.500 0.500 0.500
B 0.093 0.593 0.500
B 0.407 0.093 0.500
B 0.593 0.907 0.500
B 0.907 0.407 0.500

For the calculated density, the calculation gives 5.548 Mg/m³. Its formation energy is -0.08 eV/atom. The symmetry is P4/mbm, No. 127.

[4]
# MgSiOs

A relaxed MgSiOs crystal (GGA-PBE, Alexandria via LeMat-Bulk).

a = 3.236 Å, b = 4.066 Å, c = 7.294 Å
α = 90.00°, β = 90.00°, γ = 90.00°
Fractional positions:
Mg 0.250 0.250 0.121
Mg 0.750 0.750 0.879
Si 0.250 0.750 0.532
Si 0.750 0.250 0.468
Os 0.250 0.250 0.712
Os 0.750 0.750 0.288

The formation energy from raw total energies comes out at -0.203 eV/atom. For the calculated density, the calculation gives 8.396 Mg/m³. The symmetry is Pmmn, No. 59.